The following is a DFT calculation (PBE) of an optimized crystal structure of SrSb2Rh.

For the uncorrected formation energy, the calculation gives -450 meV per atom. The electronic total energy is -4.770 eV/atom. The calculation puts the size of the total moment at 0.00 μB/cell.

The structure belongs to space group Pm (No. 6); the cell edges are 5.201, 4.342 and 5.319 Å and the angles 90.00°, 104.62° and 90.00°. The asymmetric unit holds Sr at (0.000, 0.000, 0.000), Sb at (0.401, 0.000, 0.630), Sb at (0.614, 0.500, 0.338) and Rh at (0.125, 0.500, 0.460).

=====

The following is a DFT calculation (PBE) of an optimized crystal structure of FeAu.

The electronic total energy is -5.676 eV/atom. The calculation puts the size of the total moment at 5.22 μB/cell.

The structure belongs to space group P-3m1 (No. 164); the cell edges are 2.8507, 2.8507 and 8.7855 Å and the angles 90.00°, 90.00° and 120.00°. The asymmetric unit holds Fe at (0.3333, 0.6667, 0.4021) and Au at (0.3333, 0.6667, 0.8526).

=====

The following is a DFT calculation (PBE) of an optimized crystal structure of Ta5Mo2Os.

The electronic total energy is -11.658 eV/atom. The calculation puts the size of the total moment at 0.00 μB/cell.

The structure belongs to space group Pbam (No. 55); the cell edges are 5.524, 10.824 and 4.597 Å and the angles 90.00°, 90.00° and 90.00°. The asymmetric unit holds Ta at (0.000, 0.000, 0.000), Ta at (0.149, 0.258, 0.000), Ta at (0.165, 0.617, 0.500), Mo at (0.167, 0.877, 0.500) and Os at (0.000, 0.500, 0.000).

=====

The following is a DFT calculation (PBE) of an optimized crystal structure of BaLaBr2.

For the uncorrected formation energy, the calculation gives -1292 meV per atom. The electronic total energy is -3.841 eV/atom. The calculation puts the size of the total moment at 0.80 μB/cell. The energy above the most stable polymorph in this dataset comes out at 0.077 eV/atom.

The structure belongs to space group Pmmm (No. 47); the cell edges are 3.989, 4.032 and 8.443 Å and the angles 90.00°, 90.00° and 90.00°. The asymmetric unit holds Ba at (0.000, 0.000, 0.000), La at (0.500, 0.000, 0.500) and Br at (0.500, 0.500, 0.215).

=====

The following is a DFT calculation (PBE) of an optimized crystal structure of Tb2DySb2Te2.

For the uncorrected formation energy, the calculation gives -678 meV per atom. The electronic total energy is -4.734 eV/atom. The calculation puts the size of the total moment at 0.00 μB/cell.

The structure belongs to space group I4/mmm (No. 139); the cell edges are 5.725, 5.725 and 15.222 Å and the angles 90.00°, 90.00° and 90.00°. The asymmetric unit holds Tb at (0.000, 0.000, 0.112), Dy at (0.000, 0.000, 0.500), Sb at (0.000, 0.500, 0.000) and Te at (0.000, 0.000, 0.302).

=====

The following is a DFT calculation (PBE) of an optimized crystal structure of ZnAu3.

The electronic total energy is -2.852 eV/atom. The calculation puts the size of the total moment at 0.00 μB/cell.

The structure belongs to space group R-3m (No. 166, hexagonal axes); the cell edges are 2.9891, 2.9891 and 26.9426 Å and the angles 90.00°, 90.00° and 120.00°. The asymmetric unit holds Zn at (0.0000, 0.0000, 0.0000), Au at (0.0000, 0.0000, 0.2561) and Au at (0.0000, 0.0000, 0.5000).

=====

The following is a DFT calculation (PBE) of an optimized crystal structure of Tb5PSe4.

For the uncorrected formation energy, the calculation gives -1777 meV per atom. The electronic total energy is -6.027 eV/atom. The calculation puts the size of the total moment at 0.00 μB/cell.

The structure belongs to space group I4/mmm (No. 139); the cell edges are 4.068, 4.068 and 29.126 Å and the angles 90.00°, 90.00° and 90.00°. The asymmetric unit holds Tb at (0.000, 0.000, 0.000), Tb at (0.000, 0.000, 0.204), Tb at (0.000, 0.000, 0.407), P at (0.000, 0.000, 0.500), Se at (0.000, 0.000, 0.102) and Se at (0.000, 0.000, 0.304).

=====

The following is a DFT calculation (PBE) of an optimized crystal structure of SbTe2PdBr.

For the uncorrected formation energy, the calculation gives 301 meV per atom. The electronic total energy is -3.153 eV/atom. The calculation puts the size of the total moment at 0.00 μB/cell. The energy above the most stable polymorph in this dataset comes out at 0.000 eV/atom.

The structure belongs to space group P4/mmm (No. 123); the cell edges are 5.282, 5.282 and 5.398 Å and the angles 90.00°, 90.00° and 90.00°. The asymmetric unit holds Sb at (0.000, 0.000, 0.000), Te at (0.000, 0.500, 0.500), Pd at (0.000, 0.000, 0.500) and Br at (0.500, 0.500, 0.000).

=====

Which of these has the highest size of the total moment? FeAu

=====

Which of these has the highest size of the total moment? FeAu

=====

electronic total energy of number 1 (SrSb2Rh)? -4.770 eV/atom